First-principles (PBE) data for a relaxed structure of Sm3Sn2Rh7, as listed in the Alexandria database.

Electronic total energy   -6.76 eV/atom
ΔE_f   -0.6243 eV/atom
Theoretical density   10.18 Mg/m³
V   689.5 Å³ per cell
Spin magnetization   0.0 μB per cell

Unit cell a=5.6126 b=5.6126 c=25.2733 alpha=90.00 beta=90.00 gamma=120.00
Space group R-3m (No. 166, hexagonal axes)
Asymmetric unit:
Sm 0.0000 0.0000 0.0000
Sm 0.0000 0.0000 0.1399
Sn 0.0000 0.0000 0.3344
Rh 0.0000 0.0000 0.5000
Rh 0.0029 0.5014 0.9155



First-principles (PBE) data for a relaxed structure of Ir3Au, as listed in the Alexandria database.

Electronic total energy   -6.82 eV/atom
ΔE_f   0.6466 eV/atom
Theoretical density   20.50 Mg/m³
V   250.7 Å³ per cell
Spin magnetization   3.2 μB per cell

Unit cell a=6.3056 b=6.3056 c=6.3056 alpha=90.00 beta=90.00 gamma=90.00
Space group Fm-3m (No. 225)
Asymmetric unit:
Ir 0.0000 0.0000 0.0000
Ir 0.2500 0.2500 0.2500
Au 0.0000 0.0000 0.5000



First-principles (PBE) data for a relaxed structure of PuIn6Hg12, as listed in the Alexandria database.

Energy relative to the lowest polymorph listed for this composition   0 meV per atom
Electronic total energy   -1.82 eV/atom
ΔE_f   -0.0123 eV/atom
Theoretical density   10.76 Mg/m³
V   1547.0 Å³ per cell
Spin magnetization   18.2 μB per cell

Unit cell a=14.8514 b=14.8514 c=8.1012 alpha=90.00 beta=90.00 gamma=120.00
Space group R-3 (No. 148, hexagonal axes)
Asymmetric unit:
Pu 0.0000 0.0000 0.0000
In 0.0270 0.1432 0.3307
Hg 0.0331 0.6172 0.1022
Hg 0.0638 0.2359 0.9086



First-principles (PBE) data for a relaxed structure of Na3TlRh2O6, as listed in the Alexandria database.

Electronic total energy   -5.33 eV/atom
Theoretical density   6.49 Mg/m³
V   294.2 Å³ per cell
Spin magnetization   0.0 μB per cell
Energy relative to the elements, uncorrected   -1.095 eV per atom

Unit cell a=5.6521 b=9.7982 c=5.6417 alpha=90.00 beta=109.66 gamma=90.00
Space group C2/m (No. 12)
Asymmetric unit:
Na 0.0000 0.0000 0.0000
Na 0.0000 0.3322 0.0000
Tl 0.0000 0.5000 0.5000
Rh 0.0000 0.1668 0.5000
O 0.2076 0.0000 0.7073
O 0.2490 0.3190 0.7043



First-principles (PBE) data for a relaxed structure of Na2AgSb4, as listed in the Alexandria database.

Electronic total energy   -2.86 eV/atom
Theoretical density   4.53 Mg/m³
V   469.8 Å³ per cell
Spin magnetization   0.0 μB per cell
Energy relative to the elements, uncorrected   0.279 eV per atom

Unit cell a=5.4637 b=5.4637 c=15.7382 alpha=90.00 beta=90.00 gamma=90.00
Space group I4/mmm (No. 139)
Asymmetric unit:
Na 0.0000 0.0000 0.1316
Ag 0.0000 0.0000 0.5000
Sb 0.0000 0.0000 0.3317
Sb 0.0000 0.5000 0.0000



First-principles (PBE) data for a relaxed structure of UNiPdPb, as listed in the Alexandria database.

Electronic total energy   -6.57 eV/atom
ΔE_f   -0.0747 eV/atom
Theoretical density   13.01 Mg/m³
V   311.5 Å³ per cell
Spin magnetization   7.1 μB per cell

Unit cell a=6.7790 b=6.7790 c=6.7790 alpha=90.00 beta=90.00 gamma=90.00
Space group F-43m (No. 216)
Asymmetric unit:
U 0.0000 0.0000 0.0000
Ni 0.2500 0.2500 0.7500
Pd 0.2500 0.2500 0.2500
Pb 0.0000 0.0000 0.5000



First-principles (PBE) data for a relaxed structure of KVSb, as listed in the Alexandria database.

Energy relative to the lowest polymorph listed for this composition   0 meV per atom
Electronic total energy   -4.85 eV/atom
Theoretical density   3.75 Mg/m³
V   187.4 Å³ per cell
Spin magnetization   1.0 μB per cell
Energy relative to the elements, uncorrected   -0.073 eV per atom

Unit cell a=4.0966 b=4.0966 c=11.1659 alpha=90.00 beta=90.00 gamma=90.00
Space group P4/nmm (No. 129, origin choice 2)
Asymmetric unit:
K 0.2500 0.2500 0.1804
V 0.2500 0.7500 0.5000
Sb 0.2500 0.2500 0.6587



First-principles (PBE) data for a relaxed structure of Ac8MgZn2, as listed in the Alexandria database.

Electronic total energy   -3.41 eV/atom
ΔE_f   -0.0438 eV/atom
Theoretical density   7.85 Mg/m³
V   834.4 Å³ per cell
Spin magnetization   0.0 μB per cell

Unit cell a=19.8061 b=5.5883 c=7.9544 alpha=90.00 beta=108.61 gamma=90.00
Space group C2/m (No. 12)
Asymmetric unit:
Ac 0.0323 0.0000 0.2655
Ac 0.0921 0.5000 0.9714
Ac 0.1743 0.5000 0.4765
Ac 0.1931 0.0000 0.8131
Mg 0.0000 0.5000 0.5000
Zn 0.1838 0.0000 0.2024



What is the formula in the eighth record?
Ac8MgZn2



The lowest theoretical density belongs to which entry?
KVSb